[1]
{
  "formula": "Pr2IrAu",
  "functional": "PBE-GGA",
  "state": "relaxed",
  "lattice_angstrom": [[5.9477, 0.0000, 0.0000], [0.0000, 4.5495, 0.0000], [-2.8804, 0.0000, 7.4933]],
  "species": ["Pr", "Pr", "Pr", "Pr", "Ir", "Ir", "Au", "Au"],
  "frac_coords": [[0.2140, 0.2500, 0.4396], [0.2352, 0.2500, 0.9220], [0.7648, 0.7500, 0.0780], [0.7860, 0.7500, 0.5604], [0.3286, 0.7500, 0.7105], [0.6714, 0.2500, 0.2895], [0.3237, 0.7500, 0.2093], [0.6763, 0.2500, 0.7907]],
  "crystal_system": "monoclinic"
}



[2]
{
  "formula": "TmGeTe2AuSe",
  "functional": "PBE-GGA",
  "state": "relaxed",
  "lattice_angstrom": [[2.0723, -7.2500, 0.0000], [2.0723, 7.2500, 0.0000], [0.0000, 0.0000, 10.2233]],
  "species": ["Tm", "Tm", "Ge", "Ge", "Te", "Te", "Te", "Te", "Au", "Au", "Se", "Se"],
  "frac_coords": [[0.0000, 0.0000, 0.0000], [0.0000, 0.0000, 0.5000], [0.2421, 0.7579, 0.7500], [0.7579, 0.2421, 0.2500], [0.3443, 0.6557, 0.0588], [0.3443, 0.6557, 0.4412], [0.6557, 0.3443, 0.5588], [0.6557, 0.3443, 0.9412], [0.4797, 0.5203, 0.2500], [0.5203, 0.4797, 0.7500], [0.0955, 0.9045, 0.2500], [0.9045, 0.0955, 0.7500]],
  "crystal_system": "orthorhombic"
}



[3]
{
  "formula": "Mg6Zr2Al",
  "functional": "PBE-GGA",
  "state": "relaxed",
  "lattice_angstrom": [[8.8065, 0.0000, 0.0000], [-4.4032, 7.6266, 0.0000], [0.0000, 0.0000, 2.9262]],
  "species": ["Mg", "Mg", "Mg", "Mg", "Mg", "Mg", "Zr", "Zr", "Al"],
  "frac_coords": [[0.0000, 0.2948, 0.0000], [0.0000, 0.6494, 0.5000], [0.2948, 0.0000, 0.0000], [0.3506, 0.3506, 0.5000], [0.6494, 0.0000, 0.5000], [0.7052, 0.7052, 0.0000], [0.3333, 0.6667, 0.0000], [0.6667, 0.3333, 0.0000], [0.0000, 0.0000, 0.5000]],
  "crystal_system": "hexagonal"
}



| no. | total magnetization (μB/atom) | VASP energy (eV per cell) |
| --- | --- | --- |
| 1 | 0.00 | -49.2 |
| 2 | 0.00 | -51.0 |
| 3 | 0.00 | -29.1 |